VASP calculation (PBE) on crystalline Sr3I at its relaxed geometry.

Results
**Total magnetic moment**: 0.00 μB/f.u.
**Energy relative to the elements, uncorrected**: -45.9 kJ per mole of atoms

a = 4.106 Å, b = 4.136 Å, c = 11.743 Å
α = 90.00°, β = 90.00°, γ = 90.00°
Fractional positions:
Sr1 0.000 0.000 0.000
Sr2 0.000 0.500 0.433
Sr3 0.500 0.500 0.737
I1 0.500 0.000 0.252

=====

VASP calculation (PBE) on crystalline SrI2 at its relaxed geometry.

Results
**Total magnetic moment**: 0.00 μB/f.u.
**Energy relative to the elements, uncorrected**: -163.5 kJ per mole of atoms

a = 12.581 Å, b = 5.034 Å, c = 8.473 Å
α = 90.00°, β = 90.00°, γ = 90.00°
Fractional positions:
Sr1 0.169 0.250 0.130
Sr2 0.331 0.750 0.630
Sr3 0.669 0.250 0.370
Sr4 0.831 0.750 0.870
I1 0.107 0.750 0.876
I2 0.126 0.750 0.380
I3 0.374 0.250 0.880
I4 0.393 0.250 0.376
I5 0.607 0.750 0.624
I6 0.626 0.750 0.120
I7 0.874 0.250 0.620
I8 0.893 0.250 0.124

=====

VASP calculation (PBE) on crystalline Sr2I3 at its relaxed geometry.

Results
**Total magnetic moment**: 0.00 μB/f.u.
**Energy relative to the elements, uncorrected**: -133.2 kJ per mole of atoms

a = 9.681 Å, b = 9.681 Å, c = 9.681 Å
α = 48.34°, β = 48.34°, γ = 48.34°
Fractional positions:
Sr1 0.162 0.162 0.162
Sr2 0.338 0.338 0.338
Sr3 0.662 0.662 0.662
Sr4 0.838 0.838 0.838
I1 0.062 0.750 0.438
I2 0.250 0.562 0.938
I3 0.438 0.062 0.750
I4 0.562 0.938 0.250
I5 0.750 0.438 0.062
I6 0.938 0.250 0.562

=====

VASP calculation (PBE) on crystalline SrI2 at its relaxed geometry.

Results
**Total magnetic moment**: 0.00 μB/f.u.
**Energy relative to the elements, uncorrected**: -164.7 kJ per mole of atoms

a = 4.835 Å, b = 4.835 Å, c = 15.296 Å
α = 90.00°, β = 90.00°, γ = 119.86°
Fractional positions:
Sr1 0.000 0.000 0.000
Sr2 0.500 0.500 0.500
I1 0.166 0.834 0.617
I2 0.334 0.666 0.117
I3 0.666 0.334 0.883
I4 0.834 0.166 0.383

=====

VASP calculation (PBE) on crystalline SrTa2I at its relaxed geometry.

Results
**Total magnetic moment**: 0.00 μB/f.u.
**Energy relative to the elements, uncorrected**: 89.0 kJ per mole of atoms
**Energy above the lowest structure with this stoichiometry**: 0 meV/atom

a = 12.684 Å, b = 12.684 Å, c = 12.684 Å
α = 161.10°, β = 161.10°, γ = 26.85°
Fractional positions:
Sr1 0.000 0.000 0.000
Sr2 0.750 0.250 0.500
Ta1 0.119 0.625 0.994
Ta2 0.375 0.369 0.494
Ta3 0.631 0.125 0.006
Ta4 0.875 0.881 0.506
I1 0.250 0.750 0.500
I2 0.500 0.500 0.000

=====

VASP calculation (PBE) on crystalline SrTa2I at its relaxed geometry.

Results
**Total magnetic moment**: 0.00 μB/f.u.
**Energy relative to the elements, uncorrected**: 150.0 kJ per mole of atoms
**Energy above the lowest structure with this stoichiometry**: 632 meV/atom

a = 5.059 Å, b = 5.059 Å, c = 5.059 Å
α = 60.00°, β = 60.00°, γ = 60.00°
Fractional positions:
Sr1 0.000 0.000 0.000
Ta1 0.250 0.250 0.250
Ta2 0.750 0.750 0.750
I1 0.500 0.500 0.500